This record from OQMD via LeMat-Bulk describes a relaxed structure of Hf2NbTe2. The functional is PBE-GGA.

```
data_Hf2NbTe2
_symmetry_space_group_name_H-M 'P 1'
_symmetry_Int_Tables_number 1
_cell_length_a 9.787
_cell_length_b 9.787
_cell_length_c 9.787
_cell_angle_alpha 158.43
_cell_angle_beta 158.43
_cell_angle_gamma 30.69
loop_
_symmetry_equiv_pos_as_xyz
'x,y,z'
loop_
_atom_site_label
_atom_site_type_symbol
_atom_site_fract_x
_atom_site_fract_y
_atom_site_fract_z
_atom_site_occupancy
Hf1 Hf 0.584 0.584 0.000 1
Nb1 Nb 0.000 0.000 0.000 1
Hf2 Hf 0.416 0.416 0.000 1
Te1 Te 0.159 0.159 0.000 1
Te2 Te 0.841 0.841 0.000 1
```

Properties
Its total DFT energy (no corrections) is -39.2 eV/cell. The space group is I4/mmm (139). As for the calculated density: 9.25 g/cm3. As for the volume: 25.32 A^3/atom.